[1]
An optimized crystal structure of NbIn2PtPb. Source: Alexandria, functional PBE.

Values from the calculation:
M_tot (μB per cell): 0.0
Calculated formation energy (meV per atom): 513

abc: 5.4215 5.4215 4.9160
angles: 90.00 90.00 90.00
Space group P4/mmm (No. 123)
Symmetry-distinct sites (fractional):
Nb1 0.0000 0.0000 0.0000 [1 per cell]
In1 0.0000 0.5000 0.0000 [2 per cell]
Pt1 0.0000 0.0000 0.5000 [1 per cell]
Pb1 0.5000 0.5000 0.5000 [1 per cell]

[2]
An optimized crystal structure of TbAlF5. Source: Alexandria, functional PBE.

Values from the calculation:
M_tot (μB per cell): 1.0
Formation energy from raw total energies (eV/f.u.): -24.12

abc: 8.3612 7.2794 7.0335
angles: 90.00 111.97 90.00
Space group C2/c (No. 15)
Symmetry-distinct sites (fractional):
Tb1 0.0000 0.0201 0.2500 [4 per cell]
Al1 0.0000 0.5000 0.0000 [4 per cell]
F1 0.0000 0.4051 0.7500 [4 per cell]
F2 0.0657 0.2773 0.4483 [8 per cell]
F3 0.2269 0.4351 0.1263 [8 per cell]

Please write out number 2 again, unchanged.
An optimized crystal structure of TbAlF5. Source: Alexandria, functional PBE.

Values from the calculation:
M_tot (μB per cell): 1.0
Formation energy from raw total energies (eV/f.u.): -24.12

abc: 8.3612 7.2794 7.0335
angles: 90.00 111.97 90.00
Space group C2/c (No. 15)
Symmetry-distinct sites (fractional):
Tb1 0.0000 0.0201 0.2500 [4 per cell]
Al1 0.0000 0.5000 0.0000 [4 per cell]
F1 0.0000 0.4051 0.7500 [4 per cell]
F2 0.0657 0.2773 0.4483 [8 per cell]
F3 0.2269 0.4351 0.1263 [8 per cell]